<1>
{"formula": "Rb2ZnPt2", "functional": "PBE", "state": "optimized geometry", "n_ef_per_ev_cell": 4.2, "lattice": [[-3.284, -0.230, 3.134], [0.919, 1.016, 4.334], [-3.251, 10.340, 0.648]], "species": ["Rb", "Rb", "Zn", "Pt", "Pt"], "frac_coords": [[0.426, 0.426, 0.723], [0.574, 0.574, 0.277], [0.000, 0.000, 0.000], [0.674, 0.674, 0.979], [0.326, 0.326, 0.021]]}

***

<2>
{"formula": "Rb2ZnPt2", "functional": "PBE", "state": "optimized geometry", "n_ef_per_ev_cell": 2.1, "lattice": [[-0.109, -4.396, -5.034], [6.627, 0.577, -0.647], [0.725, -4.218, 3.668]], "species": ["Zn", "Zn", "Rb", "Rb", "Rb", "Rb", "Pt", "Pt", "Pt", "Pt"], "frac_coords": [[0.000, 0.000, 0.000], [0.500, 0.500, 0.000], [0.177, 0.677, 0.500], [0.677, 0.823, 0.500], [0.823, 0.323, 0.500], [0.323, 0.177, 0.500], [0.362, 0.862, 0.000], [0.862, 0.638, 0.000], [0.638, 0.138, 0.000], [0.138, 0.362, 0.000]]}

***

If you had to bet on the most stable structure above, which would it be? Bet on <1>.